Below is a relaxed TiZn crystal, with properties calculated at the GGA-PBE level.

Values from the calculation:
Its density of states at the Fermi level is 2.2 states/eV/cell. Its uncorrected energy is -3.35 eV/atom. As for the energy relative to the elements: 1.236 eV per atom.

a = 4.1059 Å, b = 4.1059 Å, c = 4.1059 Å
α = 60.00°, β = 60.00°, γ = 60.00°
Atoms (fractional coordinates):
Ti (0.0000, 0.0000, 0.0000)
Zn (0.7500, 0.7500, 0.7500)